First-principles (GGA-PBE) data for a relaxed NdMgCuS3 crystal, as listed in OQMD.

Properties
The calculation puts the volume at 245.1 Å³/cell. Its symmetry is Cmcm, No. 63. Its crystal system is orthorhombic. Its final energy is -4.991 eV/atom.

Cell: 6.332 6.332 10.751 Å, 90.00 90.00 34.66°
Fractional positions:
Cu  0.478  0.478  0.250
Cu  0.522  0.522  0.750
Mg  0.763  0.763  0.250
Mg  0.237  0.237  0.750
Nd  0.000  0.000  0.000
Nd  0.000  0.000  0.500
S  0.349  0.349  0.091
S  0.099  0.099  0.250
S  0.349  0.349  0.409
S  0.651  0.651  0.591
S  0.901  0.901  0.750
S  0.651  0.651  0.909